A relaxed structure of Sr2TlAg. Source: Alexandria via LeMat-Bulk, functional PBE-GGA.

```
Sr2TlAg
1.0
-2.8635 4.5503 -3.6389
-5.6502 1.9260 -2.5518
-2.2850 3.8510 3.4390
Ag Sr Tl
1 2 1
Direct
0.2259 0.2259 0.2337
0.9757 0.9757 0.0547
0.7680 0.7680 0.7030
0.5304 0.5304 0.5087
```

Values from the calculation:
final energy	-9.56	eV for the cell shown
energy relative to the elements	-0.246	eV/atom
SG	Cm



A relaxed structure of LiLaV2. Source: Alexandria via LeMat-Bulk, functional PBE-GGA.

```
LiLaV2
1.0
3.5921 1.8369 2.7558
-0.0937 4.7038 1.3180
-0.8681 1.2168 4.6516
Li La V
1 1 2
Direct
0.0000 0.0000 0.0000
0.5000 0.5000 0.5000
0.2500 0.2500 0.2500
0.7500 0.7500 0.7500
```

Values from the calculation:
final energy	-21.89	eV for the cell shown
energy relative to the elements	0.797	eV/atom
SG	Fm-3m



A relaxed structure of Na3In3Bi. Source: Alexandria via LeMat-Bulk, functional PBE-GGA.

```
Na3In3Bi
1.0
6.2838 0.0000 2.0282
2.8146 5.6182 2.0282
-0.3976 -0.2455 11.9805
Na In Bi
6 6 2
Direct
0.2157 0.7047 0.8640
0.7047 0.2157 0.8640
0.2157 0.2157 0.8640
0.7843 0.7843 0.1360
0.2953 0.7843 0.1360
0.7843 0.2953 0.1360
0.3674 0.3673 0.3857
0.8796 0.3674 0.3857
0.3673 0.8796 0.3857
0.6327 0.1204 0.6143
0.1204 0.6326 0.6143
0.6326 0.6327 0.6143
0.7062 0.7062 0.8813
0.2938 0.2938 0.1187
```

Values from the calculation:
final energy	-32.87	eV for the cell shown
energy relative to the elements	-0.055	eV/atom
SG	R-3m



A relaxed structure of Ca2PrNd6. Source: Alexandria via LeMat-Bulk, functional PBE-GGA.

```
Ca2PrNd6
1.0
-0.5699 3.1558 1.8745
-13.0005 1.6139 -2.9863
4.3215 -3.5282 7.2416
Ca Pr Nd
2 1 6
Direct
0.5568 0.8868 0.2228
0.4432 0.1132 0.7772
0.0000 0.0000 0.0000
0.7739 0.4523 0.1153
0.2261 0.5477 0.8847
0.6671 0.6654 0.6639
0.8833 0.2327 0.5534
0.1167 0.7673 0.4466
0.3329 0.3346 0.3361
```

Values from the calculation:
final energy	-37.07	eV for the cell shown
energy relative to the elements	0.035	eV/atom
SG	C2/m



A relaxed structure of Sm5Dy2YSc. Source: Alexandria via LeMat-Bulk, functional PBE-GGA.

```
Sm5Dy2YSc
1.0
5.3404 0.0000 0.0000
-2.6702 10.9223 0.0000
0.0000 0.0000 10.1370
Sm Dy Y Sc
10 4 2 2
Direct
0.3740 0.7480 0.0082
0.7213 0.4427 0.8200
0.5001 0.0001 0.7582
0.2787 0.5573 0.6965
0.0016 0.0031 0.5082
0.6260 0.2520 0.5082
0.2787 0.5573 0.3200
0.4999 0.9999 0.2582
0.7213 0.4427 0.1965
0.9984 0.9969 0.0082
0.8838 0.7675 0.7581
0.1163 0.2326 0.7583
0.1162 0.2325 0.2581
0.8837 0.7674 0.2583
0.6014 0.2028 0.0083
0.3986 0.7972 0.5083
0.7848 0.5696 0.5083
0.2152 0.4304 0.0083
```

Values from the calculation:
final energy	-88.82	eV for the cell shown
energy relative to the elements	0.132	eV/atom
SG	Cmcm



A relaxed structure of Tb6Cu2Os. Source: Alexandria via LeMat-Bulk, functional PBE-GGA.

```
Tb6Cu2Os
1.0
7.8724 0.6455 -2.6028
-4.2521 6.7395 -2.3802
-0.0425 -0.6455 8.2915
Tb Cu Os
12 4 2
Direct
0.4274 0.2541 0.1733
0.5726 0.7459 0.8267
0.9191 0.7459 0.1733
0.0809 0.2541 0.8267
0.1828 0.7381 0.9209
0.8172 0.2619 0.0791
0.8172 0.7381 0.5553
0.1828 0.2619 0.4447
0.2915 0.9611 0.6696
0.7085 0.0389 0.3304
0.7085 0.3781 0.6696
0.2915 0.6219 0.3304
0.5000 0.3778 0.8778
0.5000 0.6222 0.1222
0.3501 0.0000 0.3501
0.6499 0.0000 0.6499
0.0000 0.5000 0.5000
0.0000 0.0000 0.0000
```

Values from the calculation:
final energy	-97.41	eV for the cell shown
energy relative to the elements	-0.167	eV/atom
SG	Immm



A relaxed structure of K2PaTeO8. Source: Alexandria via LeMat-Bulk, functional PBE-GGA.

```
K2PaTeO8
1.0
-3.3206 -3.2405 -1.2652
3.8782 -1.7312 -4.2317
2.7793 -4.5728 4.4177
K Pa Te O
2 1 1 8
Direct
0.5000 0.5000 0.7631
0.5000 0.5000 0.2369
0.0000 0.0000 0.5000
0.0000 0.0000 0.0000
0.0547 0.7885 0.2016
0.5726 0.9031 0.0000
0.9453 0.2115 0.2016
0.9453 0.2115 0.7984
0.4274 0.0969 0.0000
0.0547 0.7885 0.7984
0.6609 0.8092 0.5000
0.3391 0.1908 0.5000
```

Values from the calculation:
formation energy without anion corrections	-160.8	kJ/mol of atoms
final energy	-74.50	eV for the cell shown
SG	P2/m